(1)
Ce2ErGa | GGA-PBE | optimized geometry

The space group is Fm-3m (No. 225) and the conventional cell measures 7.5147, 7.5147 and 7.5147 Å, with angles of 90.00, 90.00 and 90.00 degrees. The inequivalent atoms are Ce at (0.2500, 0.2500, 0.2500), Er at (0.0000, 0.0000, 0.0000) and Ga at (0.0000, 0.0000, 0.5000).

The formation enthalpy at 0 K comes out at -3.6 kJ per mole of atoms. Its final energy is -4.90 eV per atom. As for the energy above the most stable polymorph in this dataset: 0.247 eV per atom.



(2)
SnBi2Mo | GGA-PBE | optimized geometry

The space group is I-42d (No. 122) and the conventional cell measures 6.6109, 6.6109 and 13.7885 Å, with angles of 90.00, 90.00 and 90.00 degrees. The inequivalent atoms are Sn at (0.0000, 0.0000, 0.0000), Bi at (0.2094, 0.2500, 0.6250) and Mo at (0.0000, 0.0000, 0.5000).

The formation enthalpy at 0 K comes out at 75.6 kJ per mole of atoms. Its final energy is -4.87 eV per atom.



(3)
CdSiSb2I | GGA-PBE | optimized geometry

The space group is P4/mmm (No. 123) and the conventional cell measures 5.5026, 5.5026 and 5.7909 Å, with angles of 90.00, 90.00 and 90.00 degrees. The inequivalent atoms are Cd at (0.0000, 0.0000, 0.0000), Si at (0.5000, 0.5000, 0.5000), Sb at (0.0000, 0.5000, 0.0000) and I at (0.0000, 0.0000, 0.5000).

The calculation puts the raw formation energy at 1.003 eV/atom. Its final energy is -2.22 eV per atom. As for the energy above the most stable polymorph in this dataset: 0.476 eV per atom.



(4)
AcTiGa4 | GGA-PBE | optimized geometry

The space group is F-43m (No. 216) and the conventional cell measures 7.8987, 7.8987 and 7.8987 Å, with angles of 90.00, 90.00 and 90.00 degrees. The inequivalent atoms are Ac at (0.0000, 0.0000, 0.0000), Ti at (0.2500, 0.2500, 0.2500) and Ga at (0.1242, 0.1242, 0.6242).

The formation enthalpy at 0 K comes out at -20.4 kJ per mole of atoms. Its final energy is -4.23 eV per atom.



(5)
Mn5P | GGA-PBE | optimized geometry

The space group is Cmmm (No. 65) and the conventional cell measures 3.6097, 10.3579 and 3.5985 Å, with angles of 90.00, 90.00 and 90.00 degrees. The inequivalent atoms are Mn at (0.0000, 0.0000, 0.0000), Mn at (0.0000, 0.1689, 0.5000), Mn at (0.0000, 0.3317, 0.0000) and P at (0.0000, 0.5000, 0.5000).

The formation enthalpy at 0 K comes out at -15.6 kJ per mole of atoms. Its final energy is -8.70 eV per atom. As for the energy above the most stable polymorph in this dataset: 0.000 eV per atom.